[1]
Crystalline LaNd2Dy3Te6 at its relaxed geometry. Source: Alexandria, functional GGA-PBE.

Lattice parameters (Å, degrees): 19.4506 4.4031 8.9644 90.00 104.62 90.00
Space group C2/m (No. 12)
Symmetry-distinct sites (fractional):
1 La 0.0000 0.0000 0.0000
2 Nd 0.1682 0.5000 0.3364
3 Dy 0.0000 0.0000 0.5000
4 Dy 0.1662 0.5000 0.8332
5 Te 0.0018 0.5000 0.7396
6 Te 0.1635 0.0000 0.5911
7 Te 0.1708 0.0000 0.0783

Results
For the total energy, the calculation gives -5.31 eV per atom.

[2]
Crystalline La3NdDy3Te8 at its relaxed geometry. Source: Alexandria, functional GGA-PBE.

Lattice parameters (Å, degrees): 8.8724 8.8724 21.9866 90.00 90.00 120.00
Space group R-3m (No. 166, hexagonal axes)
Symmetry-distinct sites (fractional):
1 La 0.0000 0.5000 0.0000
2 Nd 0.0000 0.0000 0.5000
3 Dy 0.0000 0.5000 0.5000
4 Te 0.0000 0.0000 0.2447
5 Te 0.0159 0.5080 0.7515

Results
For the total energy, the calculation gives -5.38 eV per atom.